The following is a PBE calculation of a relaxed LiNi3B crystal, from Alexandria via LeMat-Bulk.

```
data_LiNi3B
_symmetry_space_group_name_H-M 'P 6/m m m'
_symmetry_Int_Tables_number 191
_symmetry_space_group_name_Hall '-P 6 2'
_cell_length_a 4.9815
_cell_length_b 4.9815
_cell_length_c 5.0543
_cell_angle_alpha 90.00
_cell_angle_beta 90.00
_cell_angle_gamma 120.00
loop_
_atom_site_label
_atom_site_type_symbol
_atom_site_fract_x
_atom_site_fract_y
_atom_site_fract_z
Li1 Li 0.0000 0.0000 0.0000
Li2 Li 0.0000 0.0000 0.5000
Ni1 Ni 0.0000 0.5000 0.2350
B1 B 0.3333 0.6667 0.5000
```

**Energy of formation from the pure elements**: -1.004 eV/f.u.
**Density**: 5.93 g/cm³
**DOS at the Fermi energy**: 0.519 states/eV per atom
**Excess energy over the best structure of this formula in the dataset**: 0.0 meV/atom

The following is a PBE calculation of a relaxed LiNi3B crystal, from Alexandria via LeMat-Bulk.

```
data_LiNi3B
_symmetry_space_group_name_H-M 'P m -3 m'
_symmetry_Int_Tables_number 221
_symmetry_space_group_name_Hall '-P 4 2 3'
_cell_length_a 3.810
_cell_length_b 3.810
_cell_length_c 3.810
_cell_angle_alpha 90.00
_cell_angle_beta 90.00
_cell_angle_gamma 90.00
loop_
_atom_site_label
_atom_site_type_symbol
_atom_site_fract_x
_atom_site_fract_y
_atom_site_fract_z
Li1 Li 0.000 0.000 0.000
Ni1 Ni 0.000 0.500 0.500
B1 B 0.500 0.500 0.500
```

**Energy of formation from the pure elements**: -0.723 eV/f.u.
**Density**: 5.82 g/cm³
**DOS at the Fermi energy**: 0.122 states/eV per atom
**Excess energy over the best structure of this formula in the dataset**: 56.2 meV/atom